# BaMgSb, PBEsol geometry, DFT SCAN
data_BaMgSb
_space_group_name_H-M_alt 'P 1'
_space_group_IT_number 1
_space_group_name_Hall 'P 1'
_cell_length_a 3.629
_cell_length_b 4.291
_cell_length_c 6.703
_cell_angle_alpha 108.67
_cell_angle_beta 105.71
_cell_angle_gamma 90.00
loop_
_atom_site_label
_atom_site_fract_x
_atom_site_fract_y
_atom_site_fract_z
_atom_site_occupancy
Sb1 0.696 0.696 0.392 1
Mg1 0.299 0.299 0.598 1
Ba1 0.005 0.005 0.010 1
# Calculated density: 5.0 Mg/m³
# Raw formation energy: -0.467 eV per atom
# Relative energy among the computed polymorphs: 0.311 eV per atom



# Ba4MgSb, PBEsol geometry, DFT SCAN
data_Ba4MgSb
_space_group_name_H-M_alt 'P 1'
_space_group_IT_number 1
_space_group_name_Hall 'P 1'
_cell_length_a 7.077
_cell_length_b 7.077
_cell_length_c 7.077
_cell_angle_alpha 60.00
_cell_angle_beta 60.00
_cell_angle_gamma 60.00
loop_
_atom_site_label
_atom_site_fract_x
_atom_site_fract_y
_atom_site_fract_z
_atom_site_occupancy
Ba1 0.373 0.373 0.373 1
Ba2 0.373 0.373 0.880 1
Ba3 0.880 0.373 0.373 1
Ba4 0.373 0.880 0.373 1
Mg1 0.750 0.750 0.750 1
Sb1 0.000 0.000 0.000 1
# Calculated density: 4.6 Mg/m³
# Raw formation energy: 0.174 eV per atom



# BaMg2Sc, PBEsol geometry, DFT SCAN
data_BaMg2Sc
_space_group_name_H-M_alt 'P 1'
_space_group_IT_number 1
_space_group_name_Hall 'P 1'
_cell_length_a 3.748
_cell_length_b 3.748
_cell_length_c 8.434
_cell_angle_alpha 90.00
_cell_angle_beta 90.00
_cell_angle_gamma 90.00
loop_
_atom_site_label
_atom_site_fract_x
_atom_site_fract_y
_atom_site_fract_z
_atom_site_occupancy
Sc1 0.500 0.500 0.000 1
Mg1 0.000 0.000 0.805 1
Mg2 0.000 0.000 0.195 1
Ba1 0.500 0.500 0.500 1
# Calculated density: 3.2 Mg/m³
# Relative energy among the computed polymorphs: 0.000 eV per atom
# Formation enthalpy at 0 K: 0.016 eV/atom



# BaMgSc, PBEsol geometry, DFT SCAN
data_BaMgSc
_space_group_name_H-M_alt 'P 1'
_space_group_IT_number 1
_space_group_name_Hall 'P 1'
_cell_length_a 5.311
_cell_length_b 5.311
_cell_length_c 5.311
_cell_angle_alpha 60.00
_cell_angle_beta 60.00
_cell_angle_gamma 60.00
loop_
_atom_site_label
_atom_site_fract_x
_atom_site_fract_y
_atom_site_fract_z
_atom_site_occupancy
Ba1 0.000 0.000 0.000 1
Mg1 0.500 0.500 0.500 1
Sc1 0.250 0.250 0.250 1
# Calculated density: 3.2 Mg/m³
# Formation enthalpy at 0 K: 0.628 eV/atom



# BaMg2Sc, PBEsol geometry, DFT SCAN
data_BaMg2Sc
_space_group_name_H-M_alt 'P 1'
_space_group_IT_number 1
_space_group_name_Hall 'P 1'
_cell_length_a 5.529
_cell_length_b 5.522
_cell_length_c 5.529
_cell_angle_alpha 59.96
_cell_angle_beta 90.00
_cell_angle_gamma 120.04
loop_
_atom_site_label
_atom_site_fract_x
_atom_site_fract_y
_atom_site_fract_z
_atom_site_occupancy
Ba1 0.000 0.000 0.000 1
Mg1 0.250 0.500 0.250 1
Mg2 0.750 0.500 0.750 1
Sc1 0.500 0.000 0.500 1
# Calculated density: 3.2 Mg/m³
# Relative energy among the computed polymorphs: 0.142 eV per atom
# Formation enthalpy at 0 K: 0.159 eV/atom



# BaMgSc3, PBEsol geometry, DFT SCAN
data_BaMgSc3
_space_group_name_H-M_alt 'P 1'
_space_group_IT_number 1
_space_group_name_Hall 'P 1'
_cell_length_a 5.417
_cell_length_b 5.417
_cell_length_c 5.417
_cell_angle_alpha 90.00
_cell_angle_beta 90.00
_cell_angle_gamma 90.00
loop_
_atom_site_label
_atom_site_fract_x
_atom_site_fract_y
_atom_site_fract_z
_atom_site_occupancy
Sc1 0.000 0.500 0.000 1
Sc2 0.000 0.000 0.500 1
Sc3 0.500 0.000 0.000 1
Mg1 0.000 0.000 0.000 1
Ba1 0.500 0.500 0.500 1
# Calculated density: 3.1 Mg/m³
# Formation enthalpy at 0 K: 0.596 eV/atom



The following density of states at the Fermi level values (in states/eV per cell) correspond, in order, to the records above: 2.1 4.1 3.2 3.7 4.5 8.0.